[1]
# SrErMgPt2, optimized geometry, DFT PBE
data_SrErMgPt2
_chemical_formula_sum 'Sr2 Er2 Mg2 Pt4'
_cell_length_a 4.4670
_cell_length_b 4.4670
_cell_length_c 12.1617
_cell_angle_alpha 90.00
_cell_angle_beta 90.00
_cell_angle_gamma 90.00
_space_group_name_H-M_alt 'I -4 m 2'
_space_group_IT_number 119
_space_group_name_Hall 'I -4 -2'
loop_
_atom_site_label
_atom_site_type_symbol
_atom_site_fract_x
_atom_site_fract_y
_atom_site_fract_z
_atom_site_occupancy
Sr1 Sr 0.0000 0.0000 0.0000 1
Er1 Er 0.0000 0.5000 0.2500 1
Mg1 Mg 0.0000 0.5000 0.7500 1
Pt1 Pt 0.0000 0.0000 0.3885 1
# Volume ... 24.3 Å³ per atom
# Formation energy from the elements ... -444 kJ/mol of formula units
# Raw total energy ... -4.905 eV/atom

=====

[2]
# TbErMgPt, optimized geometry, DFT PBE
data_TbErMgPt
_chemical_formula_sum 'Tb4 Er4 Mg4 Pt4'
_cell_length_a 7.1731
_cell_length_b 7.1731
_cell_length_c 7.1731
_cell_angle_alpha 90.00
_cell_angle_beta 90.00
_cell_angle_gamma 90.00
_space_group_name_H-M_alt 'F -4 3 m'
_space_group_IT_number 216
_space_group_name_Hall 'F -4 2 3'
loop_
_atom_site_label
_atom_site_type_symbol
_atom_site_fract_x
_atom_site_fract_y
_atom_site_fract_z
_atom_site_occupancy
Tb1 Tb 0.0000 0.0000 0.0000 1
Er1 Er 0.0000 0.0000 0.5000 1
Mg1 Mg 0.2500 0.2500 0.7500 1
Pt1 Pt 0.2500 0.2500 0.2500 1
# Volume ... 23.1 Å³ per atom
# Formation energy from the elements ... -233 kJ/mol of formula units
# Raw total energy ... -4.811 eV/atom

=====

[3]
# YErMgPt, optimized geometry, DFT PBE
data_YErMgPt
_chemical_formula_sum 'Y4 Er4 Mg4 Pt4'
_cell_length_a 7.1652
_cell_length_b 7.1652
_cell_length_c 7.1652
_cell_angle_alpha 90.00
_cell_angle_beta 90.00
_cell_angle_gamma 90.00
_space_group_name_H-M_alt 'F -4 3 m'
_space_group_IT_number 216
_space_group_name_Hall 'F -4 2 3'
loop_
_atom_site_label
_atom_site_type_symbol
_atom_site_fract_x
_atom_site_fract_y
_atom_site_fract_z
_atom_site_occupancy
Y1 Y 0.0000 0.0000 0.0000 1
Er1 Er 0.0000 0.0000 0.5000 1
Mg1 Mg 0.2500 0.2500 0.7500 1
Pt1 Pt 0.2500 0.2500 0.2500 1
# Volume ... 23.0 Å³ per atom
# Formation energy from the elements ... -236 kJ/mol of formula units
# Raw total energy ... -5.278 eV/atom